This record from Alexandria describes an optimized crystal structure of MoRu. The functional is GGA-PBE.

Cell: 6.1322 6.7697 2.8785 Å, 90.00 90.00 90.00°
Last column: nearest neighbours and their distance in Å.
Space group Cmmm (No. 65)
Inequivalent atoms, fractional coordinates:
Mo1 0.2065 0.0000 0.0000 x4  1 Mo 2.53, 8 Ru 2.72-2.73
Ru1 0.0000 0.2864 0.5000 x4  8 Mo 2.72-2.73, 3 Ru 2.88-2.89

M_tot in Bohr magnetons per cell: 0.00
Energy of formation in eV per atom: 0.005
D(E_F) in states/eV per cell: 5.071